1.
# Ac6P2Pt3Se

A geometry-optimized Ac6P2Pt3Se structure (PBE, Alexandria via LeMat-Bulk).

Values from the calculation:
E_form (uncorrected): -1.318 eV/atom
Spin magnetization: 0.00 Bohr magnetons per cell

Cell lengths 10.030, 10.030, 9.071 Å; angles 106.05, 106.05, 25.08 degrees
Positions (direct):
Ac1 0.000 0.000 0.238
Ac2 0.000 0.000 0.762
Ac3 0.328 0.328 0.416
Ac4 0.334 0.334 0.918
Ac5 0.666 0.666 0.082
Ac6 0.672 0.672 0.584
P1 0.166 0.166 0.829
P2 0.834 0.834 0.171
Pt1 0.165 0.165 0.331
Pt2 0.500 0.500 0.000
Pt3 0.835 0.835 0.669
Se1 0.500 0.500 0.500



2.
# AcP2PtSe8

A geometry-optimized AcP2PtSe8 structure (PBE, Alexandria via LeMat-Bulk).

Values from the calculation:
E_form (uncorrected): -0.250 eV/atom
Spin magnetization: 0.00 Bohr magnetons per cell

Cell lengths 7.094, 7.094, 8.828 Å; angles 90.00, 90.00, 120.00 degrees
Positions (direct):
Ac1 0.000 0.000 0.000
P1 0.333 0.667 0.251
P2 0.667 0.333 0.749
Pt1 0.000 0.000 0.500
Se1 0.148 0.297 0.295
Se2 0.148 0.852 0.295
Se3 0.297 0.148 0.705
Se4 0.333 0.667 0.004
Se5 0.667 0.333 0.996
Se6 0.703 0.852 0.295
Se7 0.852 0.148 0.705
Se8 0.852 0.703 0.705



3.
# Ac4PPtSe2

A geometry-optimized Ac4PPtSe2 structure (PBE, Alexandria via LeMat-Bulk).

Values from the calculation:
E_form (uncorrected): -1.586 eV/atom
Spin magnetization: 0.00 Bohr magnetons per cell

Cell lengths 7.793, 4.387, 7.834 Å; angles 90.00, 108.85, 90.00 degrees
Positions (direct):
Ac1 0.241 0.000 0.230
Ac2 0.258 0.500 0.763
Ac3 0.742 0.500 0.237
Ac4 0.759 0.000 0.770
P1 0.500 0.000 0.000
Pt1 0.000 0.500 0.000
Se1 0.000 0.000 0.500
Se2 0.500 0.500 0.500



4.
# Ac8PPt4Se3

A geometry-optimized Ac8PPt4Se3 structure (PBE, Alexandria via LeMat-Bulk).

Values from the calculation:
E_form (uncorrected): -1.441 eV/atom
Spin magnetization: 0.00 Bohr magnetons per cell

Cell lengths 9.185, 9.185, 9.185 Å; angles 56.60, 56.60, 56.60 degrees
Positions (direct):
Ac1 0.238 0.749 0.749
Ac2 0.243 0.243 0.243
Ac3 0.251 0.251 0.762
Ac4 0.251 0.762 0.251
Ac5 0.749 0.238 0.749
Ac6 0.749 0.749 0.238
Ac7 0.757 0.757 0.757
Ac8 0.762 0.251 0.251
P1 0.000 0.000 0.000
Pt1 0.000 0.000 0.500
Pt2 0.000 0.500 0.000
Pt3 0.500 0.000 0.000
Pt4 0.500 0.500 0.500
Se1 0.000 0.500 0.500
Se2 0.500 0.000 0.500
Se3 0.500 0.500 0.000



5.
# Ac6P2PtSe3

A geometry-optimized Ac6P2PtSe3 structure (PBE, Alexandria via LeMat-Bulk).

Values from the calculation:
E_form (uncorrected): -1.648 eV/atom
Spin magnetization: 0.00 Bohr magnetons per cell

Cell lengths 10.017, 10.017, 9.035 Å; angles 103.43, 103.43, 25.45 degrees
Positions (direct):
Ac1 0.004 0.004 0.240
Ac2 0.329 0.329 0.426
Ac3 0.335 0.335 0.906
Ac4 0.665 0.665 0.094
Ac5 0.671 0.671 0.574
Ac6 0.996 0.996 0.760
P1 0.167 0.167 0.335
P2 0.833 0.833 0.665
Pt1 0.500 0.500 0.000
Se1 0.168 0.168 0.832
Se2 0.500 0.500 0.500
Se3 0.832 0.832 0.168



6.
# AcSiPPt6

A geometry-optimized AcSiPPt6 structure (PBE, Alexandria via LeMat-Bulk).

Values from the calculation:
E_form (uncorrected): -0.591 eV/atom
Spin magnetization: 0.00 Bohr magnetons per cell

Cell lengths 8.036, 8.036, 8.036 Å; angles 121.55, 118.57, 89.92 degrees
Positions (direct):
Ac1 0.389 0.139 0.250
Ac2 0.611 0.861 0.750
Si1 0.000 0.000 0.500
Si2 0.000 0.500 0.000
P1 0.000 0.500 0.500
P2 0.500 0.500 0.000
Pt1 0.103 0.397 0.249
Pt2 0.103 0.854 0.706
Pt3 0.114 0.864 0.250
Pt4 0.339 0.589 0.750
Pt5 0.352 0.146 0.749
Pt6 0.352 0.603 0.206
Pt7 0.648 0.397 0.794
Pt8 0.648 0.854 0.251
Pt9 0.661 0.411 0.250
Pt10 0.886 0.136 0.750
Pt11 0.897 0.146 0.294
Pt12 0.897 0.603 0.751



Asked for calculated total energy across the records above, the calculation gives -6.07, -4.32, -5.94, -6.00, -5.98, -6.28 eV per atom in order.